A plane-wave DFT calculation with SCAN was carried out for a PBEsol-optimized structure of SiAuBr2.

It has space group P4/mmm (No. 123), with a = 3.481 Å, b = 3.481 Å, c = 6.818 Å, α = 90.00°, β = 90.00° and γ = 90.00°. The distinct sites, in fractional coordinates, are Si at (0.000, 0.000, 0.000), Au at (0.000, 0.000, 0.500) and Br at (0.500, 0.500, 0.241).

The value obtained for the energy above the most stable polymorph in this dataset is 817.2 meV/atom. For the density of states at the Fermi level, the calculation gives 0.4097 states/eV per atom. As for the formation energy (no corrections): 0.6147 eV per atom.